# Rb2TiVO6

A geometry-optimized Rb2TiVO6 structure (PBE with a Hubbard U, the Alexandria database).

Cell and atoms, written as CIF:
```
data_Rb2TiVO6
_cell_length_a 9.9287
_cell_length_b 9.9287
_cell_length_c 9.9287
_cell_angle_alpha 34.28
_cell_angle_beta 34.28
_cell_angle_gamma 34.28
_symmetry_space_group_name_H-M 'P 1'
_symmetry_Int_Tables_number 1
_symmetry_space_group_name_Hall 'P 1'
loop_
_atom_site_label
_atom_site_fract_x
_atom_site_fract_y
_atom_site_fract_z
Rb1 0.1308 0.1308 0.1308
Rb2 0.2822 0.2822 0.2822
Rb3 0.7178 0.7178 0.7178
Rb4 0.8692 0.8692 0.8692
Ti1 0.4025 0.4025 0.4025
Ti2 0.5975 0.5975 0.5975
V1 0.0000 0.0000 0.0000
V2 0.5000 0.5000 0.5000
O1 0.1745 0.5969 0.5969
O2 0.1993 0.1993 0.7157
O3 0.1993 0.7157 0.1993
O4 0.2843 0.8007 0.8007
O5 0.4031 0.4031 0.8255
O6 0.4031 0.8255 0.4031
O7 0.5969 0.1745 0.5969
O8 0.5969 0.5969 0.1745
O9 0.7157 0.1993 0.1993
O10 0.8007 0.2843 0.8007
O11 0.8007 0.8007 0.2843
O12 0.8255 0.4031 0.4031
```

Density of states at the Fermi level in states/eV/f.u.: 4.63
Raw total energy in eV per atom: -6.669